Below is crystalline Mn3Be at its relaxed geometry, with properties calculated at the PBE level.

Cell: 2.470 2.470 7.761 Å, 90.00 90.00 120.00°
Last column: magnetic moment on the atom in μB.
Element x y z (fractional)
1 Mn 0.000 0.000 0.500  -0.36
2 Mn 0.667 0.333 0.756  0.68
3 Mn 0.667 0.333 0.244  0.68
4 Be 0.000 0.000 0.000  -0.02

Computed properties:
The density comes out at 7.039 g/cm³. The formation energy comes out at 0.210 eV per formula unit. As for the symmetry: P-6m2 (187). For the volume, the calculation gives 10.3 A^3/atom.

=====

Below is crystalline MnBe at its relaxed geometry, with properties calculated at the PBE level.

Cell: 6.910 6.910 6.910 Å, 90.00 90.00 90.00°
Last column: magnetic moment on the atom in μB.
Element x y z (fractional)
1 Mn 0.878 0.878 0.878  2.16
2 Mn 0.378 0.378 0.378  2.16
3 Mn 0.122 0.122 0.878  2.16
4 Mn 0.622 0.378 0.622  2.16
5 Mn 0.878 0.122 0.122  2.16
6 Mn 0.378 0.622 0.622  2.16
7 Mn 0.122 0.878 0.122  2.16
8 Mn 0.622 0.622 0.378  2.16
9 Be 0.811 0.811 0.189  0.00
10 Be 0.311 0.311 0.689  0.00
11 Be 0.189 0.811 0.811  0.00
12 Be 0.689 0.689 0.689  0.00
13 Be 0.189 0.189 0.189  0.00
14 Be 0.311 0.689 0.311  0.00
15 Be 0.811 0.189 0.811  0.00
16 Be 0.689 0.311 0.311  0.00

Computed properties:
The density comes out at 2.575 g/cm³. The formation energy comes out at 3.135 eV per formula unit. As for the symmetry: I-43m (217). For the volume, the calculation gives 20.6 A^3/atom.

=====

Below is crystalline MnBe at its relaxed geometry, with properties calculated at the PBE level.

Cell: 2.326 4.300 3.926 Å, 90.00 90.00 90.00°
Last column: magnetic moment on the atom in μB.
Element x y z (fractional)
1 Mn 0.000 0.500 0.500  1.08
2 Mn 0.500 0.000 0.000  1.08
3 Be 0.000 0.000 0.500  -0.06
4 Be 0.500 0.500 0.000  -0.06

Computed properties:
The density comes out at 5.409 g/cm³. The formation energy comes out at 0.669 eV per formula unit. As for the symmetry: Immm (71). For the volume, the calculation gives 9.8 A^3/atom.